## Hf3Sc4TaN8 (GGA-PBE)

Data for Hf3Sc4TaN8 after structural relaxation.

abc: 6.3811 6.3811 6.3811
angles: 59.80 59.80 59.80
With the nearest neighbours (Å) after each atom.
Positions (direct):
Hf 0.0000 0.5000 0.5000  6 N 2.24
Hf 0.5000 0.0000 0.5000  6 N 2.24
Hf 0.5000 0.5000 0.0000  6 N 2.24
Sc 0.0000 0.0000 0.5000  6 N 2.27
Sc 0.0000 0.5000 0.0000  6 N 2.27
Sc 0.5000 0.0000 0.0000  6 N 2.27
Sc 0.5000 0.5000 0.5000  6 N 2.28
Ta 0.0000 0.0000 0.0000  6 N 2.23
N 0.2470 0.2470 0.7503  1 Ta 2.23, 2 Hf 2.24, 3 Sc 2.27-2.28
N 0.2470 0.7503 0.2470  1 Ta 2.23, 2 Hf 2.24, 3 Sc 2.27-2.28
N 0.2497 0.7530 0.7530  1 Ta 2.23, 2 Hf 2.24, 3 Sc 2.27-2.28
N 0.2518 0.2518 0.2518  3 Hf 2.24, 3 Sc 2.27
N 0.7482 0.7482 0.7482  3 Hf 2.24, 3 Sc 2.27
N 0.7503 0.2470 0.2470  1 Ta 2.23, 2 Hf 2.24, 3 Sc 2.27-2.28
N 0.7530 0.2497 0.7530  1 Ta 2.23, 2 Hf 2.24, 3 Sc 2.27-2.28
N 0.7530 0.7530 0.2497  1 Ta 2.23, 2 Hf 2.24, 3 Sc 2.27-2.28

Results
Magnetization in μB per cell: 0.00
Space group: R-3m, No. 166
Uncorrected energy in eV/f.u.: -162.69
Crystal system: trigonal
ΔE_f (raw) in kJ per mole of atoms: -175